No. 1
## Li4Ag2Pb5 (PBE)

Data for crystalline Li4Ag2Pb5 at its relaxed geometry.

Output
Formation enthalpy at 0 K = -0.15 eV/atom

Cell: 4.770 7.440 7.827 Å, 82.51 72.43 71.33°
Space group P-1 (No. 2)
Inequivalent atoms, fractional coordinates:
Li (0.121, 0.298, 0.462)
Li (0.348, 0.264, 0.041)
Ag (0.097, 0.628, 0.183)
Pb (0.000, 0.000, 0.000)
Pb (0.329, 0.601, 0.737)
Pb (0.386, 0.891, 0.339)

No. 2
## Sm2UMn2C4 (PBE)

Data for crystalline Sm2UMn2C4 at its relaxed geometry.

Output
Formation enthalpy at 0 K = -0.08 eV/atom

Cell: 12.926 3.403 6.034 Å, 90.00 108.62 90.00°
Space group C2/m (No. 12)
Inequivalent atoms, fractional coordinates:
Sm (0.137, 0.000, 0.047)
U (0.000, 0.000, 0.500)
Mn (0.184, 0.500, 0.500)
C (0.038, 0.500, 0.272)
C (0.219, 0.000, 0.692)

No. 3
## LaSc2Ru (PBE)

Data for crystalline LaSc2Ru at its relaxed geometry.

Output
Formation enthalpy at 0 K = 0.02 eV/atom

Cell: 6.986 6.986 6.986 Å, 90.00 90.00 90.00°
Space group Fm-3m (No. 225)
Inequivalent atoms, fractional coordinates:
La (0.000, 0.000, 0.000)
Sc (0.250, 0.250, 0.250)
Ru (0.000, 0.000, 0.500)

No. 4
## Rb2U3PaO12 (PBE)

Data for crystalline Rb2U3PaO12 at its relaxed geometry.

Output
E_form (uncorrected) = -296.9 kJ per mole of atoms

Cell: 7.9732 7.9732 19.4990 Å, 90.00 90.00 120.00°
Space group R-3m (No. 166, hexagonal axes)
Inequivalent atoms, fractional coordinates:
Rb (0.0000, 0.0000, 0.1270)
U (0.0000, 0.5000, 0.0000)
Pa (0.0000, 0.0000, 0.5000)
O (0.0717, 0.5359, 0.1040)
O (0.0796, 0.5398, 0.3534)

No. 5
## PrEr2Rh9 (PBE)

Data for crystalline PrEr2Rh9 at its relaxed geometry.

Output
Formation enthalpy at 0 K = -0.56 eV/atom

Cell: 5.2845 5.2845 26.2213 Å, 90.00 90.00 120.00°
Space group R-3m (No. 166, hexagonal axes)
Inequivalent atoms, fractional coordinates:
Pr (0.0000, 0.0000, 0.0000)
Er (0.0000, 0.0000, 0.1397)
Rh (0.0000, 0.0000, 0.3331)
Rh (0.0000, 0.0000, 0.5000)
Rh (0.0009, 0.5004, 0.9164)

No. 6
## CuHg3Pd3O8 (PBE)

Data for crystalline CuHg3Pd3O8 at its relaxed geometry.

Output
E_form (uncorrected) = -27.0 kJ per mole of atoms

Cell: 10.613 6.115 7.943 Å, 90.00 116.24 90.00°
Space group C2/m (No. 12)
Inequivalent atoms, fractional coordinates:
Cu (0.000, 0.000, 0.000)
Hg (0.000, 0.000, 0.500)
Hg (0.250, 0.250, 0.500)
Pd (0.000, 0.500, 0.000)
Pd (0.250, 0.250, 0.000)
O (0.036, 0.248, 0.857)
O (0.213, 0.000, 0.143)
O (0.214, 0.500, 0.144)

No. 7
## LiSmP (PBE)

Data for crystalline LiSmP at its relaxed geometry.

Output
Formation enthalpy at 0 K = -0.91 eV/atom

Cell: 6.447 6.447 6.447 Å, 90.00 90.00 90.00°
Space group F-43m (No. 216)
Inequivalent atoms, fractional coordinates:
Li (0.000, 0.000, 0.000)
Sm (0.000, 0.000, 0.500)
P (0.250, 0.250, 0.750)

No. 8
## TmTh2Sb (PBE)

Data for crystalline TmTh2Sb at its relaxed geometry.

Output
E_form (uncorrected) = -8.2 kJ per mole of atoms

Cell: 7.826 7.826 7.826 Å, 90.00 90.00 90.00°
Space group Fm-3m (No. 225)
Inequivalent atoms, fractional coordinates:
Tm (0.000, 0.000, 0.000)
Th (0.250, 0.250, 0.250)
Sb (0.000, 0.000, 0.500)

No. 9
## MgHgIr (PBE)

Data for crystalline MgHgIr at its relaxed geometry.

Output
Formation enthalpy at 0 K = 0.16 eV/atom

Cell: 6.334 6.334 6.334 Å, 90.00 90.00 90.00°
Space group F-43m (No. 216)
Inequivalent atoms, fractional coordinates:
Mg (0.000, 0.000, 0.000)
Hg (0.000, 0.000, 0.500)
Ir (0.250, 0.250, 0.250)

No. 10
## U2Si4Rh5 (PBE)

Data for crystalline U2Si4Rh5 at its relaxed geometry.

Output
E_form (uncorrected) = -63.4 kJ per mole of atoms

Cell: 5.586 9.507 13.935 Å, 90.00 90.00 90.00°
Space group Fmmm (No. 69)
Inequivalent atoms, fractional coordinates:
U (0.000, 0.000, 0.127)
Si (0.000, 0.144, 0.364)
Rh (0.000, 0.000, 0.500)
Rh (0.250, 0.250, 0.000)
Rh (0.250, 0.250, 0.250)

No. 11
## Al2InGaCu (PBE)

Data for crystalline Al2InGaCu at its relaxed geometry.

Output
Formation enthalpy at 0 K = 0.74 eV/atom

Cell: 4.886 4.886 5.237 Å, 90.00 90.00 90.00°
Space group P4/mmm (No. 123)
Inequivalent atoms, fractional coordinates:
Al (0.000, 0.500, 0.000)
In (0.000, 0.000, 0.500)
Ga (0.000, 0.000, 0.000)
Cu (0.500, 0.500, 0.500)

No. 12
## V6Cr2Si (PBE)

Data for crystalline V6Cr2Si at its relaxed geometry.

Output
E_form (uncorrected) = 11.5 kJ per mole of atoms

Cell: 7.484 7.897 8.273 Å, 90.00 90.00 90.00°
Space group Immm (No. 71)
Inequivalent atoms, fractional coordinates:
V (0.000, 0.236, 0.176)
V (0.198, 0.207, 0.500)
V (0.199, 0.500, 0.246)
Cr (0.000, 0.000, 0.339)
Cr (0.161, 0.000, 0.000)
Si (0.000, 0.500, 0.000)
Si (0.000, 0.500, 0.500)

Calculated volume, record by record: 250.7; 251.6; 340.9; 1073.5; 634.2; 462.4; 267.9; 479.3; 254.1; 740.1; 125.0; 488.9 Å³/cell